# 1
9
Lattice="5.2038 -2.6620 0.0000 5.2038 2.6620 0.0000 -1.5774 0.0000 9.1779" Properties=species:S:1:pos:R:3 comment="La6ZnRu2 PBE-GGA relaxed" de_polymorph_mev_per_atom=0 delta_e_f_mev_per_atom=-228 vol_a3_per_atom=28.25 m_tot_mub_per_cell=0.0 dft_energy_ev_per_atom=-5.716 pbc="T T T"
La 0.1446 0.0000 3.1421
La 1.8388 0.0000 8.1667
La 3.4390 0.0000 3.0873
La 5.3912 0.0000 6.0907
La 6.9913 0.0000 1.0112
La 8.6856 0.0000 6.0358
Zn 0.0000 0.0000 0.0000
Ru 1.8655 0.0000 5.6750
Ru 6.9647 0.0000 3.5029

# 2
12
Lattice="2.4552 1.4175 7.8927 -2.4552 1.4175 7.8927 0.0000 -2.8350 7.8927" Properties=species:S:1:pos:R:3 comment="LaMg2Ni9 PBE-GGA relaxed" de_polymorph_mev_per_atom=0 delta_e_f_mev_per_atom=-253 vol_a3_per_atom=13.73 m_tot_mub_per_cell=0.0 dft_energy_ev_per_atom=-5.265 pbc="T T T"
La 0.0000 0.0000 0.0000
Mg 0.0000 0.0000 3.4292
Mg 0.0000 0.0000 20.2490
Ni -1.2362 -0.7137 9.9206
Ni 0.0000 0.0000 7.8937
Ni 0.0000 -1.4275 13.7576
Ni -1.2362 0.7137 13.7576
Ni 0.0000 0.0000 11.8391
Ni 1.2362 -0.7137 9.9206
Ni 0.0000 1.4275 9.9206
Ni 0.0000 0.0000 15.7845
Ni 1.2362 0.7137 13.7576